No. 1
# Sr2AlMo

An optimized crystal structure of Sr2AlMo (PBE, Alexandria via LeMat-Bulk).

Geometry as POSCAR:
```
Sr2AlMo
1.0
5.3619 0.0000 0.0000
0.0000 5.3619 0.0000
0.0000 0.0000 7.6202
Sr Al Mo
4 2 2
Direct
0.0000 0.0000 0.0000 Sr
0.0000 0.5000 0.2500 Sr
0.5000 0.0000 0.7500 Sr
0.5000 0.5000 0.5000 Sr
0.0000 0.5000 0.7500 Al
0.5000 0.0000 0.2500 Al
0.0000 0.0000 0.5000 Mo
0.5000 0.5000 0.0000 Mo
```

## Properties
total moment: 0.933 μB per atom
ΔH_f (0 K): 0.71 eV per atom
total energy: -3.78 eV per atom


No. 2
# SrAlMo2

An optimized crystal structure of SrAlMo2 (PBE, Alexandria via LeMat-Bulk).

Geometry as POSCAR:
```
SrAlMo2
1.0
4.1173 0.0000 0.0000
0.0000 4.1173 0.0000
0.0000 0.0000 9.3249
Sr Al Mo
2 2 4
Direct
0.0000 0.0000 0.0000 Sr
0.5000 0.5000 0.5000 Sr
0.0000 0.0000 0.5000 Al
0.5000 0.5000 0.0000 Al
0.0000 0.5000 0.2500 Mo
0.0000 0.5000 0.7500 Mo
0.5000 0.0000 0.2500 Mo
0.5000 0.0000 0.7500 Mo
```

## Properties
total moment: 0.000 μB per atom
ΔH_f (0 K): 0.91 eV per atom
total energy: -5.86 eV per atom


No. 3
# SrAlMo2

An optimized crystal structure of SrAlMo2 (PBE, Alexandria via LeMat-Bulk).

Geometry as POSCAR:
```
SrAlMo2
1.0
2.7548 0.0000 0.0000
0.0000 5.3582 0.0000
0.0000 0.0000 10.7818
Sr Al Mo
2 2 4
Direct
0.0000 0.0000 0.0000 Sr
0.5000 0.5000 0.5000 Sr
0.0000 0.0000 0.5000 Al
0.5000 0.5000 0.0000 Al
0.0000 0.5000 0.2133 Mo
0.0000 0.5000 0.7867 Mo
0.5000 0.0000 0.2867 Mo
0.5000 0.0000 0.7133 Mo
```

## Properties
total moment: 0.000 μB per atom
ΔH_f (0 K): 0.71 eV per atom
total energy: -6.07 eV per atom